Record 1
The following is a DFT calculation (GGA-PBE) of a geometry-optimized InNi2Cl structure.

E_form (uncorrected) = 0.264 eV/atom
Magnetic moment = 0.8 μB per cell
Space group = Pmmm, No. 47

abc: 3.0061 4.1183 5.3738
angles: 90.00 90.00 90.00
Atoms (fractional coordinates):
In 0.0000 0.0000 0.0000
Ni 0.0000 0.5000 0.5000
Ni 0.5000 0.5000 0.0000
Cl 0.5000 0.0000 0.5000


Record 2
The following is a DFT calculation (GGA-PBE) of a geometry-optimized InNi2Cl structure.

E_form (uncorrected) = 0.199 eV/atom
Magnetic moment = 0.0 μB per cell
Space group = I-42d, No. 122

abc: 7.4881 7.4881 7.4881
angles: 142.85 142.85 53.54
Atoms (fractional coordinates):
In 0.0000 0.0000 0.0000
In 0.7500 0.2500 0.5000
Ni 0.2484 0.6250 0.1234
Ni 0.3750 0.4984 0.6234
Ni 0.5016 0.1250 0.8766
Ni 0.8750 0.7516 0.3766
Cl 0.2500 0.7500 0.5000
Cl 0.5000 0.5000 0.0000


Record 3
The following is a DFT calculation (GGA-PBE) of a geometry-optimized InNi2Cl structure.

E_form (uncorrected) = 0.123 eV/atom
Magnetic moment = 0.0 μB per cell
Space group = R-3m, No. 166

abc: 7.5758 7.5758 7.5758
angles: 24.08 24.08 24.08
Atoms (fractional coordinates):
In 0.0000 0.0000 0.0000
Ni 0.2459 0.2459 0.2459
Ni 0.7541 0.7541 0.7541
Cl 0.5000 0.5000 0.5000


Record 4
The following is a DFT calculation (GGA-PBE) of a geometry-optimized InNi2Cl structure.

E_form (uncorrected) = 0.351 eV/atom
Magnetic moment = 0.3 μB per cell
Space group = P4/mmm, No. 123

abc: 4.4756 4.4756 3.1254
angles: 90.00 90.00 90.00
Atoms (fractional coordinates):
In 0.0000 0.0000 0.0000
Ni 0.0000 0.5000 0.5000
Ni 0.5000 0.0000 0.5000
Cl 0.5000 0.5000 0.0000


Record 5
The following is a DFT calculation (GGA-PBE) of a geometry-optimized InNi2Cl structure.

E_form (uncorrected) = 0.110 eV/atom
Magnetic moment = 1.1 μB per cell
Space group = R3m, No. 160

abc: 7.7729 7.7729 7.7729
angles: 24.65 24.65 24.65
Atoms (fractional coordinates):
In 0.0000 0.0000 0.0000
Ni 0.2539 0.2539 0.2539
Ni 0.5213 0.5213 0.5213
Cl 0.7959 0.7959 0.7959


Record 6
The following is a DFT calculation (GGA-PBE) of a geometry-optimized InNiCl structure.

E_form (uncorrected) = -0.163 eV/atom
Magnetic moment = 0.0 μB per cell
Space group = P3m1, No. 156

abc: 3.5563 3.5563 5.3846
angles: 90.00 90.00 120.00
Atoms (fractional coordinates):
In 0.0000 0.0000 0.0000
Ni 0.6667 0.3333 0.7214
Cl 0.3333 0.6667 0.4612


Record 7
The following is a DFT calculation (GGA-PBE) of a geometry-optimized InNiCl structure.

E_form (uncorrected) = 0.432 eV/atom
Magnetic moment = 0.0 μB per cell
Space group = F-43m, No. 216

abc: 4.6316 4.6316 4.6316
angles: 60.00 60.00 60.00
Atoms (fractional coordinates):
In 0.0000 0.0000 0.0000
Ni 0.7500 0.7500 0.7500
Cl 0.2500 0.2500 0.2500


Record 8
The following is a DFT calculation (GGA-PBE) of a geometry-optimized InNi2Cl structure.

E_form (uncorrected) = 0.310 eV/atom
Magnetic moment = 0.7 μB per cell
Space group = I-4m2, No. 119

abc: 5.8234 5.8234 5.8234
angles: 144.32 144.32 51.35
Atoms (fractional coordinates):
In 0.0000 0.0000 0.0000
Ni 0.2500 0.7500 0.5000
Ni 0.5000 0.5000 0.0000
Cl 0.7500 0.2500 0.5000


Record 9
The following is a DFT calculation (GGA-PBE) of a geometry-optimized InNiP2Cl structure.

E_form (uncorrected) = 0.269 eV/atom
Magnetic moment = 0.7 μB per cell
Space group = P4/mmm, No. 123

abc: 4.4195 4.4195 4.8745
angles: 90.00 90.00 90.00
Atoms (fractional coordinates):
In 0.0000 0.0000 0.0000
Ni 0.5000 0.5000 0.5000
P 0.0000 0.5000 0.5000
P 0.5000 0.0000 0.5000
Cl 0.5000 0.5000 0.0000


Record 10
The following is a DFT calculation (GGA-PBE) of a geometry-optimized InNiP2Cl structure.

E_form (uncorrected) = 1.198 eV/atom
Magnetic moment = 0.0 μB per cell
Space group = P4/mmm, No. 123

abc: 5.0956 5.0956 5.0752
angles: 90.00 90.00 90.00
Atoms (fractional coordinates):
In 0.0000 0.0000 0.0000
Ni 0.5000 0.5000 0.5000
P 0.0000 0.5000 0.0000
P 0.5000 0.0000 0.0000
Cl 0.0000 0.0000 0.5000


Record 11
The following is a DFT calculation (GGA-PBE) of a geometry-optimized Rb2InNiCl6 structure.

E_form (uncorrected) = -1.270 eV/atom
Magnetic moment = 1.2 μB per cell
Space group = Fm-3m, No. 225

abc: 7.2119 7.2119 7.2119
angles: 60.00 60.00 60.00
Atoms (fractional coordinates):
Rb 0.2500 0.2500 0.2500
Rb 0.7500 0.7500 0.7500
In 0.0000 0.0000 0.0000
Ni 0.5000 0.5000 0.5000
Cl 0.2605 0.2605 0.7395
Cl 0.2605 0.7395 0.2605
Cl 0.2605 0.7395 0.7395
Cl 0.7395 0.2605 0.2605
Cl 0.7395 0.2605 0.7395
Cl 0.7395 0.7395 0.2605


Record 12
The following is a DFT calculation (GGA-PBE) of a geometry-optimized InNiSCl2 structure.

E_form (uncorrected) = 0.238 eV/atom
Magnetic moment = 1.2 μB per cell
Space group = P4/mmm, No. 123

abc: 5.0646 5.0646 5.0909
angles: 90.00 90.00 90.00
Atoms (fractional coordinates):
In 0.0000 0.0000 0.0000
Ni 0.5000 0.5000 0.5000
S 0.0000 0.0000 0.5000
Cl 0.0000 0.5000 0.0000
Cl 0.5000 0.0000 0.0000


Record 13
The following is a DFT calculation (GGA-PBE) of a geometry-optimized InNiSCl2 structure.

E_form (uncorrected) = -0.288 eV/atom
Magnetic moment = 0.0 μB per cell
Space group = P4/mmm, No. 123

abc: 4.6022 4.6022 4.7732
angles: 90.00 90.00 90.00
Atoms (fractional coordinates):
In 0.0000 0.0000 0.0000
Ni 0.5000 0.5000 0.5000
S 0.5000 0.5000 0.0000
Cl 0.0000 0.5000 0.5000
Cl 0.5000 0.0000 0.5000


Record 14
The following is a DFT calculation (GGA-PBE) of a geometry-optimized YInNiCl2 structure.

E_form (uncorrected) = 0.347 eV/atom
Magnetic moment = 0.4 μB per cell
Space group = P4/mmm, No. 123

abc: 5.0504 5.0504 6.4307
angles: 90.00 90.00 90.00
Atoms (fractional coordinates):
Y 0.0000 0.0000 0.0000
In 0.0000 0.0000 0.5000
Ni 0.5000 0.5000 0.0000
Cl 0.0000 0.5000 0.5000
Cl 0.5000 0.0000 0.5000


Record 15
The following is a DFT calculation (GGA-PBE) of a geometry-optimized NpIn2Cl8 structure.

E_form (uncorrected) = -1.251 eV/atom
Magnetic moment = 3.0 μB per cell
Space group = C2/m, No. 12

abc: 6.5066 6.5066 9.6561
angles: 97.26 97.26 71.37
Atoms (fractional coordinates):
Np 0.0000 0.0000 0.0000
In 0.0889 0.0889 0.4076
In 0.9111 0.9111 0.5924
Cl 0.1963 0.7309 0.7843
Cl 0.2352 0.2352 0.9915
Cl 0.2691 0.8037 0.2157
Cl 0.3153 0.3153 0.4567
Cl 0.6847 0.6847 0.5433
Cl 0.7309 0.1963 0.7843
Cl 0.7648 0.7648 0.0085
Cl 0.8037 0.2691 0.2157